Record 1
{
  "formula": "BaAl12Pt6",
  "functional": "PBE",
  "state": "optimized geometry",
  "lattice": [[5.772, 3.332, 2.915], [-5.772, 3.332, 2.915], [0.000, -6.664, 2.915]],
  "species": ["Ba", "Al", "Al", "Al", "Al", "Al", "Al", "Al", "Al", "Al", "Al", "Al", "Al", "Pt", "Pt", "Pt", "Pt", "Pt", "Pt"],
  "fractional_positions": [[0.000, 0.000, 0.000], [0.117, 0.500, 0.883], [0.117, 0.883, 0.500], [0.151, 0.411, 0.411], [0.411, 0.151, 0.411], [0.411, 0.411, 0.151], [0.500, 0.117, 0.883], [0.500, 0.883, 0.117], [0.589, 0.589, 0.849], [0.589, 0.849, 0.589], [0.849, 0.589, 0.589], [0.883, 0.117, 0.500], [0.883, 0.500, 0.117], [0.271, 0.271, 0.699], [0.271, 0.699, 0.271], [0.301, 0.729, 0.729], [0.699, 0.271, 0.271], [0.729, 0.301, 0.729], [0.729, 0.729, 0.301]],
  "e_form_ev_per_atom": -0.8392,
  "density_g_cm3": 8.05,
  "spacegroup": "R-3m",
  "volume_a3_per_cell": 336.4
}

Record 2
{
  "formula": "La12Sm3Dy",
  "functional": "PBE",
  "state": "optimized geometry",
  "lattice": [[5.228, 0.000, 0.000], [0.000, 5.228, 0.000], [0.000, 0.000, 20.901]],
  "species": ["La", "La", "La", "La", "La", "La", "La", "La", "La", "La", "La", "La", "Sm", "Sm", "Sm", "Dy"],
  "fractional_positions": [[0.000, 0.000, 0.000], [0.000, 0.000, 0.249], [0.000, 0.000, 0.500], [0.000, 0.000, 0.751], [0.000, 0.500, 0.124], [0.000, 0.500, 0.374], [0.000, 0.500, 0.626], [0.000, 0.500, 0.876], [0.500, 0.000, 0.124], [0.500, 0.000, 0.374], [0.500, 0.000, 0.626], [0.500, 0.000, 0.876], [0.500, 0.500, 0.249], [0.500, 0.500, 0.500], [0.500, 0.500, 0.751], [0.500, 0.500, 0.000]],
  "e_form_ev_per_atom": 0.0079,
  "density_g_cm3": 6.63,
  "spacegroup": "P4/mmm",
  "volume_a3_per_cell": 571.3
}

Record 3
{
  "formula": "CrN2",
  "functional": "PBE",
  "state": "optimized geometry",
  "lattice": [[3.208, -1.410, 0.000], [3.208, 1.410, 0.000], [-0.861, 0.000, 3.303]],
  "species": ["Cr", "N", "N"],
  "fractional_positions": [[0.000, 0.000, 0.000], [0.714, 0.714, 0.152], [0.889, 0.889, 0.458]],
  "e_form_raw_ev_per_atom": 0.128,
  "density_g_cm3": 4.45,
  "spacegroup": "Cm",
  "volume_a3_per_cell": 29.9
}

Record 4
{
  "formula": "ScH4Rh2",
  "functional": "PBE",
  "state": "optimized geometry",
  "lattice": [[3.337, -4.483, 0.000], [3.337, 4.483, 0.000], [-3.330, 0.000, 4.215]],
  "species": ["Sc", "Sc", "H", "H", "H", "H", "H", "H", "H", "H", "Rh", "Rh", "Rh", "Rh"],
  "fractional_positions": [[0.000, 0.000, 0.000], [0.750, 0.250, 0.500], [0.152, 0.726, 0.742], [0.159, 0.232, 0.756], [0.160, 0.441, 0.299], [0.274, 0.848, 0.258], [0.559, 0.840, 0.701], [0.609, 0.390, 0.800], [0.610, 0.391, 0.200], [0.768, 0.841, 0.244], [0.327, 0.500, 0.688], [0.391, 0.062, 0.812], [0.500, 0.673, 0.312], [0.938, 0.609, 0.188]],
  "density_g_cm3": 6.71,
  "final_energy_ev_per_cell": -73.1,
  "spacegroup": "C2",
  "volume_a3_per_cell": 126.1
}

Record 5
{
  "formula": "KTi2Hg2",
  "functional": "PBE",
  "state": "optimized geometry",
  "lattice": [[8.689, 0.000, 0.000], [0.000, 8.689, 0.000], [0.000, 0.000, 3.031]],
  "species": ["K", "K", "Ti", "Ti", "Ti", "Ti", "Hg", "Hg", "Hg", "Hg"],
  "fractional_positions": [[0.000, 0.000, 0.000], [0.500, 0.500, 0.000], [0.106, 0.394, 0.000], [0.394, 0.894, 0.000], [0.606, 0.106, 0.000], [0.894, 0.606, 0.000], [0.185, 0.685, 0.500], [0.315, 0.185, 0.500], [0.685, 0.815, 0.500], [0.815, 0.315, 0.500]],
  "e_form_ev_per_atom": 0.1747,
  "density_g_cm3": 7.78,
  "spacegroup": "P4/mbm",
  "volume_a3_per_cell": 228.8
}

Record 6
{
  "formula": "Ho2Mn2InRh5",
  "functional": "PBE",
  "state": "optimized geometry",
  "lattice": [[9.596, 0.000, 0.000], [0.000, 9.596, 0.000], [0.000, 0.000, 3.736]],
  "species": ["Ho", "Ho", "Ho", "Ho", "Mn", "Mn", "Mn", "Mn", "In", "In", "Rh", "Rh", "Rh", "Rh", "Rh", "Rh", "Rh", "Rh", "Rh", "Rh"],
  "fractional_positions": [[0.178, 0.322, 0.000], [0.322, 0.822, 0.000], [0.678, 0.178, 0.000], [0.822, 0.678, 0.000], [0.120, 0.620, 0.000], [0.380, 0.120, 0.000], [0.620, 0.880, 0.000], [0.880, 0.380, 0.000], [0.000, 0.000, 0.000], [0.500, 0.500, 0.000], [0.000, 0.500, 0.500], [0.067, 0.789, 0.500], [0.211, 0.067, 0.500], [0.289, 0.567, 0.500], [0.433, 0.289, 0.500], [0.500, 0.000, 0.500], [0.567, 0.711, 0.500], [0.711, 0.433, 0.500], [0.789, 0.933, 0.500], [0.933, 0.211, 0.500]],
  "e_form_ev_per_atom": -0.4660,
  "density_g_cm3": 10.32,
  "spacegroup": "P4/mbm",
  "volume_a3_per_cell": 344.0
}

Record 7
{
  "formula": "Y3TmIn3",
  "functional": "PBE",
  "state": "optimized geometry",
  "lattice": [[9.302, 0.000, 0.000], [0.000, 9.302, 0.000], [0.000, 0.000, 9.302]],
  "species": ["Y", "Y", "Y", "Y", "Y", "Y", "Y", "Y", "Y", "Y", "Y", "Y", "Tm", "Tm", "Tm", "Tm", "In", "In", "In", "In", "In", "In", "In", "In", "In", "In", "In", "In"],
  "fractional_positions": [[0.070, 0.430, 0.570], [0.176, 0.176, 0.176], [0.176, 0.824, 0.324], [0.324, 0.176, 0.824], [0.324, 0.824, 0.676], [0.430, 0.570, 0.070], [0.570, 0.070, 0.430], [0.676, 0.324, 0.824], [0.676, 0.676, 0.676], [0.824, 0.324, 0.176], [0.824, 0.676, 0.324], [0.930, 0.930, 0.930], [0.079, 0.579, 0.921], [0.421, 0.421, 0.421], [0.579, 0.921, 0.079], [0.921, 0.079, 0.579], [0.002, 0.257, 0.874], [0.126, 0.502, 0.243], [0.243, 0.126, 0.502], [0.257, 0.874, 0.002], [0.374, 0.498, 0.743], [0.498, 0.743, 0.374], [0.502, 0.243, 0.126], [0.626, 0.998, 0.757], [0.743, 0.374, 0.498], [0.757, 0.626, 0.998], [0.874, 0.002, 0.257], [0.998, 0.757, 0.626]],
  "e_form_ev_per_atom": -0.3344,
  "density_g_cm3": 6.44,
  "spacegroup": "P2_13",
  "volume_a3_per_cell": 804.8
}

Record 8
{
  "formula": "Tl6HgSb2",
  "functional": "PBE",
  "state": "optimized geometry",
  "lattice": [[8.431, -2.378, 0.000], [8.431, 2.378, 0.000], [-1.869, 0.000, 8.561]],
  "species": ["Tl", "Tl", "Tl", "Tl", "Tl", "Tl", "Hg", "Sb", "Sb"],
  "fractional_positions": [[0.045, 0.045, 0.179], [0.172, 0.172, 0.865], [0.352, 0.352, 0.577], [0.648, 0.648, 0.423], [0.828, 0.828, 0.135], [0.955, 0.955, 0.821], [0.000, 0.000, 0.500], [0.233, 0.233, 0.253], [0.767, 0.767, 0.747]],
  "e_form_raw_ev_per_atom": 0.056,
  "density_g_cm3": 8.08,
  "spacegroup": "C2/m",
  "volume_a3_per_cell": 343.3
}

Copy entry 4 word for word.
{
  "formula": "ScH4Rh2",
  "functional": "PBE",
  "state": "optimized geometry",
  "lattice": [[3.337, -4.483, 0.000], [3.337, 4.483, 0.000], [-3.330, 0.000, 4.215]],
  "species": ["Sc", "Sc", "H", "H", "H", "H", "H", "H", "H", "H", "Rh", "Rh", "Rh", "Rh"],
  "fractional_positions": [[0.000, 0.000, 0.000], [0.750, 0.250, 0.500], [0.152, 0.726, 0.742], [0.159, 0.232, 0.756], [0.160, 0.441, 0.299], [0.274, 0.848, 0.258], [0.559, 0.840, 0.701], [0.609, 0.390, 0.800], [0.610, 0.391, 0.200], [0.768, 0.841, 0.244], [0.327, 0.500, 0.688], [0.391, 0.062, 0.812], [0.500, 0.673, 0.312], [0.938, 0.609, 0.188]],
  "density_g_cm3": 6.71,
  "final_energy_ev_per_cell": -73.1,
  "spacegroup": "C2",
  "volume_a3_per_cell": 126.1
}